Entry 1:
Here is a PBEsol-optimized structure of Re5Ru from the Alexandria database. Energies are from SCAN.

Properties
calculated formation energy = -0.045 eV/atom
energy above the most stable polymorph in this dataset = 0 meV/atom

Lattice parameters (Å, degrees): 10.0103 2.7385 6.4821 90.00 104.32 90.00
Space group Cm (No. 8)
Asymmetric unit:
Re (0.0000, 0.0000, 0.0000) [2 per cell]
Re (0.0559, 0.0000, 0.6090) [2 per cell]
Re (0.1692, 0.5000, 0.3301) [2 per cell]
Re (0.2260, 0.5000, 0.9448) [2 per cell]
Re (0.3359, 0.0000, 0.6624) [2 per cell]
Ru (0.3903, 0.0000, 0.2735) [2 per cell]

Entry 2:
Here is a PBEsol-optimized structure of KSb2Br from the Alexandria database. Energies are from SCAN.

Properties
energy above the most stable polymorph in this dataset = 915 meV/atom

Lattice parameters (Å, degrees): 7.7541 7.7541 7.7541 90.00 90.00 90.00
Space group Fm-3m (No. 225)
Asymmetric unit:
K (0.0000, 0.0000, 0.0000) [4 per cell]
Sb (0.2500, 0.2500, 0.2500) [8 per cell]
Br (0.0000, 0.0000, 0.5000) [4 per cell]

Entry 3:
Here is a PBEsol-optimized structure of Cr2CdRu from the Alexandria database. Energies are from SCAN.

Properties
calculated formation energy = 0.476 eV/atom

Lattice parameters (Å, degrees): 2.6725 2.6725 26.6844 90.00 90.00 120.00
Space group R-3m (No. 166, hexagonal axes)
Asymmetric unit:
Cr (0.0000, 0.0000, 0.2429) [6 per cell]
Cd (0.0000, 0.0000, 0.0000) [3 per cell]
Ru (0.0000, 0.0000, 0.5000) [3 per cell]

Entry 4:
Here is a PBEsol-optimized structure of Cu2AsIr from the Alexandria database. Energies are from SCAN.

Properties
calculated formation energy = 0.195 eV/atom

Lattice parameters (Å, degrees): 2.8152 4.1224 4.7310 90.00 102.24 90.00
Space group P2/m (No. 10)
Asymmetric unit:
Cu (0.1284, 0.0000, 0.2551) [2 per cell]
As (0.0000, 0.5000, 0.5000) [1 per cell]
Ir (0.5000, 0.5000, 0.0000) [1 per cell]

Entry 5:
Here is a PBEsol-optimized structure of LiCeMg30O32 from the Alexandria database. Energies are from SCAN.

Lattice parameters (Å, degrees): 8.5089 8.5089 8.5074 90.00 90.00 90.00
Space group P4/mmm (No. 123)
Asymmetric unit:
Li (0.0000, 0.0000, 0.0000) [1 per cell]
Ce (0.5000, 0.5000, 0.0000) [1 per cell]
Mg (0.0000, 0.0000, 0.5000) [1 per cell]
Mg (0.0000, 0.2455, 0.2479) [8 per cell]
Mg (0.0000, 0.5000, 0.0000) [2 per cell]
Mg (0.0000, 0.5000, 0.5000) [2 per cell]
Mg (0.2385, 0.2385, 0.0000) [4 per cell]
Mg (0.2413, 0.5000, 0.2571) [8 per cell]
Mg (0.2479, 0.2479, 0.5000) [4 per cell]
Mg (0.5000, 0.5000, 0.5000) [1 per cell]
O (0.0000, 0.0000, 0.2570) [2 per cell]
O (0.0000, 0.2510, 0.5000) [4 per cell]
O (0.0000, 0.2542, 0.0000) [4 per cell]
O (0.0000, 0.5000, 0.2533) [4 per cell]
O (0.2354, 0.5000, 0.0000) [4 per cell]
O (0.2484, 0.5000, 0.5000) [4 per cell]
O (0.2510, 0.2510, 0.2495) [8 per cell]
O (0.5000, 0.5000, 0.2657) [2 per cell]

Entry 6:
Here is a PBEsol-optimized structure of In3GaN4 from the Alexandria database. Energies are from SCAN.

Lattice parameters (Å, degrees): 6.8899 6.8899 5.5860 90.00 90.00 120.00
Space group P6_3mc (No. 186)
Asymmetric unit:
In (0.1695, 0.3390, 0.0000) [6 per cell]
Ga (0.3333, 0.6667, 0.5012) [2 per cell]
N (0.1770, 0.3540, 0.3879) [6 per cell]
N (0.3333, 0.6667, 0.8486) [2 per cell]

Entry 7:
Here is a PBEsol-optimized structure of SbTe from the Alexandria database. Energies are from SCAN.

Properties
energy above the most stable polymorph in this dataset = 168 meV/atom

Lattice parameters (Å, degrees): 3.9695 3.9761 16.2488 90.00 90.00 90.00
Space group Imma (No. 74)
Asymmetric unit:
Sb (0.0000, 0.2500, 0.0786) [4 per cell]
Te (0.0000, 0.2500, 0.6481) [4 per cell]

Entry 8:
Here is a PBEsol-optimized structure of SrCa3Mn2O8 from the Alexandria database. Energies are from SCAN.

Lattice parameters (Å, degrees): 3.7146 3.7146 11.8863 90.00 90.00 90.00
Space group P4mm (No. 99)
Asymmetric unit:
Sr (0.0000, 0.0000, 0.0000) [1 per cell]
Ca (0.0000, 0.0000, 0.7087) [1 per cell]
Ca (0.5000, 0.5000, 0.2155) [1 per cell]
Ca (0.5000, 0.5000, 0.5005) [1 per cell]
Mn (0.0000, 0.0000, 0.3596) [1 per cell]
Mn (0.5000, 0.5000, 0.8498) [1 per cell]
O (0.0000, 0.0000, 0.2002) [1 per cell]
O (0.0000, 0.0000, 0.5192) [1 per cell]
O (0.0000, 0.5000, 0.3582) [2 per cell]
O (0.0000, 0.5000, 0.8471) [2 per cell]
O (0.5000, 0.5000, 0.0148) [1 per cell]
O (0.5000, 0.5000, 0.6901) [1 per cell]

Entry 9:
Here is a PBEsol-optimized structure of TcSn2Ru from the Alexandria database. Energies are from SCAN.

Properties
calculated formation energy = 0.109 eV/atom

Lattice parameters (Å, degrees): 6.4048 6.4048 6.4048 90.00 90.00 90.00
Space group Fm-3m (No. 225)
Asymmetric unit:
Tc (0.0000, 0.0000, 0.0000) [4 per cell]
Sn (0.2500, 0.2500, 0.2500) [8 per cell]
Ru (0.0000, 0.0000, 0.5000) [4 per cell]

Entry 10:
Here is a PBEsol-optimized structure of CrCIO2 from the Alexandria database. Energies are from SCAN.

Lattice parameters (Å, degrees): 3.5267 3.5267 5.6168 90.00 90.00 90.00
Space group P4/mmm (No. 123)
Asymmetric unit:
Cr (0.0000, 0.0000, 0.0000) [1 per cell]
C (0.5000, 0.5000, 0.5000) [1 per cell]
I (0.0000, 0.0000, 0.5000) [1 per cell]
O (0.0000, 0.5000, 0.0000) [2 per cell]

Entry 11:
Here is a PBEsol-optimized structure of Hf2ReSbF from the Alexandria database. Energies are from SCAN.

Lattice parameters (Å, degrees): 4.2047 4.2047 4.8663 90.00 90.00 90.00
Space group P4/mmm (No. 123)
Asymmetric unit:
Hf (0.0000, 0.5000, 0.0000) [2 per cell]
Re (0.0000, 0.0000, 0.5000) [1 per cell]
Sb (0.5000, 0.5000, 0.5000) [1 per cell]
F (0.5000, 0.5000, 0.0000) [1 per cell]

Entry 12:
Here is a PBEsol-optimized structure of GaCuGe2F from the Alexandria database. Energies are from SCAN.

Lattice parameters (Å, degrees): 4.4151 4.4151 4.4230 90.00 90.00 90.00
Space group P4/mmm (No. 123)
Asymmetric unit:
Ga (0.0000, 0.0000, 0.0000) [1 per cell]
Cu (0.5000, 0.5000, 0.0000) [1 per cell]
Ge (0.0000, 0.5000, 0.5000) [2 per cell]
F (0.0000, 0.0000, 0.5000) [1 per cell]

Entry 13:
Here is a PBEsol-optimized structure of SrMgRu2 from the Alexandria database. Energies are from SCAN.

Properties
calculated formation energy = 0.491 eV/atom

Lattice parameters (Å, degrees): 2.8684 4.5263 6.0934 90.00 98.99 90.00
Space group P2/m (No. 10)
Asymmetric unit:
Sr (0.0000, 0.0000, 0.0000) [1 per cell]
Mg (0.5000, 0.0000, 0.5000) [1 per cell]
Ru (0.2919, 0.5000, 0.6739) [2 per cell]

Entry 14:
Here is a PBEsol-optimized structure of SrLi2Ca from the Alexandria database. Energies are from SCAN.

Properties
calculated formation energy = 0.011 eV/atom
energy above the most stable polymorph in this dataset = 0 meV/atom

Lattice parameters (Å, degrees): 5.7574 5.7574 8.0897 90.00 90.00 90.00
Space group I4/mmm (No. 139)
Asymmetric unit:
Sr (0.0000, 0.0000, 0.0000) [2 per cell]
Li (0.0000, 0.5000, 0.2500) [4 per cell]
Ca (0.0000, 0.0000, 0.5000) [2 per cell]

Entry 15:
Here is a PBEsol-optimized structure of LiW3O9F from the Alexandria database. Energies are from SCAN.

Lattice parameters (Å, degrees): 7.3651 12.8264 8.3843 90.00 115.67 90.00
Space group Cc (No. 9)
Asymmetric unit:
Li (0.0000, 0.1274, 0.0000) [4 per cell]
W (0.0598, 0.3740, 0.4903) [4 per cell]
W (0.3290, 0.1330, 0.4735) [4 per cell]
W (0.3416, 0.3843, 0.9982) [4 per cell]
O (0.0907, 0.3392, 0.0047) [4 per cell]
O (0.0958, 0.0888, 0.5139) [4 per cell]
O (0.2009, 0.1257, 0.2433) [4 per cell]
O (0.2210, 0.3760, 0.7608) [4 per cell]
O (0.2727, 0.2719, 0.5044) [4 per cell]
O (0.2758, 0.4773, 0.5108) [4 per cell]
O (0.4096, 0.0159, 0.0083) [4 per cell]
O (0.4138, 0.2343, 0.0196) [4 per cell]
O (0.4587, 0.1275, 0.7560) [4 per cell]
F (0.4555, 0.3779, 0.2618) [4 per cell]

Entry 16:
Here is a PBEsol-optimized structure of CaNb2P6O21 from the Alexandria database. Energies are from SCAN.

Lattice parameters (Å, degrees): 13.4048 10.6985 12.4996 90.00 96.11 90.00
Space group C2/m (No. 12)
Asymmetric unit:
Ca (0.2240, 0.0000, 0.1365) [4 per cell]
Nb (0.0000, 0.2450, 0.5000) [4 per cell]
Nb (0.2138, 0.5000, 0.1779) [4 per cell]
P (0.0597, 0.2623, 0.1027) [8 per cell]
P (0.1111, 0.2409, 0.7671) [8 per cell]
P (0.1406, 0.0000, 0.4088) [4 per cell]
P (0.1567, 0.5000, 0.4556) [4 per cell]
O (0.0000, 0.3293, 0.0000) [4 per cell]
O (0.0244, 0.1958, 0.8372) [8 per cell]
O (0.0586, 0.2406, 0.6497) [8 per cell]
O (0.0946, 0.3818, 0.4718) [8 per cell]
O (0.0981, 0.1159, 0.4635) [8 per cell]
O (0.1021, 0.3693, 0.1742) [8 per cell]
O (0.1291, 0.0000, 0.2897) [4 per cell]
O (0.1294, 0.1662, 0.0699) [8 per cell]
O (0.1525, 0.3646, 0.8005) [8 per cell]
O (0.1846, 0.1319, 0.7778) [8 per cell]
O (0.2016, 0.5000, 0.3521) [4 per cell]
O (0.2247, 0.5000, 0.0392) [4 per cell]
O (0.2409, 0.5000, 0.5552) [4 per cell]

Entry 17:
Here is a PBEsol-optimized structure of La2TcSe from the Alexandria database. Energies are from SCAN.

Lattice parameters (Å, degrees): 4.1359 4.1359 10.6665 90.00 90.00 90.00
Space group I-4m2 (No. 119)
Asymmetric unit:
La (0.0000, 0.0000, 0.0000) [2 per cell]
La (0.0000, 0.5000, 0.2500) [2 per cell]
Tc (0.0000, 0.5000, 0.7500) [2 per cell]
Se (0.0000, 0.0000, 0.5000) [2 per cell]

Entry 18:
Here is a PBEsol-optimized structure of LaGaSbI2 from the Alexandria database. Energies are from SCAN.

Lattice parameters (Å, degrees): 6.1153 6.1153 6.1051 90.00 90.00 90.00
Space group P4/mmm (No. 123)
Asymmetric unit:
La (0.0000, 0.0000, 0.0000) [1 per cell]
Ga (0.5000, 0.5000, 0.5000) [1 per cell]
Sb (0.0000, 0.0000, 0.5000) [1 per cell]
I (0.0000, 0.5000, 0.0000) [2 per cell]

Entry 19:
Here is a PBEsol-optimized structure of ErZrSb from the Alexandria database. Energies are from SCAN.

Lattice parameters (Å, degrees): 4.1928 4.1928 16.3151 90.00 90.00 90.00
Space group I4/mmm (No. 139)
Asymmetric unit:
Er (0.0000, 0.0000, 0.1768) [4 per cell]
Zr (0.0000, 0.5000, 0.0000) [4 per cell]
Sb (0.0000, 0.0000, 0.3653) [4 per cell]

Entry 20:
Here is a PBEsol-optimized structure of Cd2HgPb from the Alexandria database. Energies are from SCAN.

Properties
calculated formation energy = 0.125 eV/atom
energy above the most stable polymorph in this dataset = 79 meV/atom

Lattice parameters (Å, degrees): 7.2732 7.2732 7.2732 90.00 90.00 90.00
Space group F-43m (No. 216)
Asymmetric unit:
Cd (0.0000, 0.0000, 0.0000) [4 per cell]
Cd (0.2500, 0.2500, 0.2500) [4 per cell]
Hg (0.2500, 0.2500, 0.7500) [4 per cell]
Pb (0.0000, 0.0000, 0.5000) [4 per cell]

Computed uncorrected energy (eV per atom) in order:
-65.10 -25.29 -25.03 -30.23 -9.15 -19.39 -37.17 -12.69 -35.32 -15.38 -47.67 -14.41 -23.73 -9.17 -21.70 -11.58 -35.78 -34.41 -40.29 -51.07
Computed calculated density (g cm⁻³) in order:
19.91 5.16 9.58 12.20 3.74 6.80 6.46 4.51 11.04 5.30 13.20 5.73 6.67 1.75 6.71 2.79 8.28 4.25 8.81 10.92